DFT (PBE) results for LiYNiPb after structural relaxation.

```
data_LiYNiPb
_chemical_formula_sum 'Li4 Y4 Ni4 Pb4'
_cell_length_a 6.665
_cell_length_b 6.665
_cell_length_c 6.665
_cell_angle_alpha 90.00
_cell_angle_beta 90.00
_cell_angle_gamma 90.00
_symmetry_space_group_name_H-M 'F -4 3 m'
_symmetry_Int_Tables_number 216
_symmetry_space_group_name_Hall 'F -4 2 3'
loop_
_atom_site_label
_atom_site_type_symbol
_atom_site_fract_x
_atom_site_fract_y
_atom_site_fract_z
Li1 Li 0.000 0.000 0.000
Y1 Y 0.250 0.250 0.250
Ni1 Ni 0.000 0.000 0.500
Pb1 Pb 0.250 0.250 0.750
```

Computed properties:
- Calculated formation energy: -0.406 eV/atom
- DOS(E_F): 0.032 states/eV per atom



DFT (PBE) results for LiZnNiPb after structural relaxation.

```
data_LiZnNiPb
_chemical_formula_sum 'Li4 Zn4 Ni4 Pb4'
_cell_length_a 6.338
_cell_length_b 6.338
_cell_length_c 6.338
_cell_angle_alpha 90.00
_cell_angle_beta 90.00
_cell_angle_gamma 90.00
_symmetry_space_group_name_H-M 'F -4 3 m'
_symmetry_Int_Tables_number 216
_symmetry_space_group_name_Hall 'F -4 2 3'
loop_
_atom_site_label
_atom_site_type_symbol
_atom_site_fract_x
_atom_site_fract_y
_atom_site_fract_z
Li1 Li 0.000 0.000 0.000
Zn1 Zn 0.250 0.250 0.250
Ni1 Ni 0.000 0.000 0.500
Pb1 Pb 0.250 0.250 0.750
```

Computed properties:
- Calculated formation energy: -0.097 eV/atom
- DOS(E_F): 0.572 states/eV per atom



DFT (PBE) results for Li2ZrNiPb after structural relaxation.

```
data_Li2ZrNiPb
_chemical_formula_sum 'Li2 Zr1 Ni1 Pb1'
_cell_length_a 4.549
_cell_length_b 4.549
_cell_length_c 4.813
_cell_angle_alpha 90.00
_cell_angle_beta 90.00
_cell_angle_gamma 90.00
_symmetry_space_group_name_H-M 'P 4/m m m'
_symmetry_Int_Tables_number 123
_symmetry_space_group_name_Hall '-P 4 2'
loop_
_atom_site_label
_atom_site_type_symbol
_atom_site_fract_x
_atom_site_fract_y
_atom_site_fract_z
Li1 Li 0.000 0.500 0.000
Zr1 Zr 0.000 0.000 0.500
Ni1 Ni 0.000 0.000 0.000
Pb1 Pb 0.500 0.500 0.500
```

Computed properties:
- Calculated formation energy: 0.065 eV/atom
- DOS(E_F): 0.601 states/eV per atom



DFT (PBE) results for Li2NiPd after structural relaxation.

```
data_Li2NiPd
_chemical_formula_sum 'Li8 Ni4 Pd4'
_cell_length_a 6.600
_cell_length_b 6.600
_cell_length_c 5.018
_cell_angle_alpha 90.00
_cell_angle_beta 90.00
_cell_angle_gamma 90.00
_symmetry_space_group_name_H-M 'I -4 2 d'
_symmetry_Int_Tables_number 122
_symmetry_space_group_name_Hall 'I -4 2bw'
loop_
_atom_site_label
_atom_site_type_symbol
_atom_site_fract_x
_atom_site_fract_y
_atom_site_fract_z
Li1 Li 0.241 0.750 0.125
Ni1 Ni 0.000 0.000 0.000
Pd1 Pd 0.000 0.000 0.500
```

Computed properties:
- Calculated formation energy: 0.086 eV/atom
- DOS(E_F): 0.542 states/eV per atom



Q: Among the records above, which one has the lowest calculated formation energy?
A: LiYNiPb



Q: Look up the DOS(E_F) of the third one.
A: 0.601 states/eV per atom



Q: Number 3 is which compound?
A: Li2ZrNiPb